1.
Sr3Li9Zn2 PBE relaxed; Fermi-level density of states = 0.545 states/eV/atom; space group = Immm (71); DFT total energy = -1.803 eV/atom
1.0
-2.435 5.361 6.937
2.435 -5.361 6.937
2.435 5.361 -6.937
Sr Li Zn
3 9 2
Direct
0.000 0.000 0.000
0.324 0.324 0.000
0.676 0.676 0.000
0.022 0.680 0.343
0.169 0.892 0.278
0.337 0.680 0.657
0.386 0.108 0.278
0.500 0.000 0.500
0.614 0.892 0.722
0.663 0.320 0.343
0.831 0.108 0.722
0.978 0.320 0.657
0.274 0.500 0.774
0.726 0.500 0.226

2.
Th5PtSe4 PBE relaxed; Fermi-level density of states = 0.818 states/eV/atom; space group = I4/m (87); DFT total energy = -7.194 eV/atom; energy relative to the elements, uncorrected = -14.858 eV/f.u.
1.0
-4.731 4.731 2.982
4.731 -4.731 2.982
4.731 4.731 -2.982
Th Pt Se
5 1 4
Direct
0.000 0.000 0.000
0.208 0.399 0.607
0.399 0.792 0.191
0.601 0.208 0.809
0.792 0.601 0.393
0.500 0.500 0.000
0.097 0.697 0.793
0.303 0.097 0.400
0.697 0.903 0.600
0.903 0.303 0.207

3.
AgPt2Se4 PBE relaxed; Fermi-level density of states = 0.496 states/eV/atom; space group = C2/m (12); DFT total energy = -4.420 eV/atom; energy relative to the elements, uncorrected = -2.068 eV/f.u.
1.0
6.663 -3.840 0.000
6.663 3.840 0.000
-4.413 0.000 6.279
Ag Pt Se
2 4 8
Direct
0.125 0.125 0.375
0.875 0.875 0.625
0.000 0.500 0.000
0.500 0.000 0.000
0.500 0.500 0.000
0.500 0.500 0.500
0.265 0.702 0.234
0.266 0.266 0.235
0.266 0.266 0.797
0.298 0.735 0.766
0.702 0.265 0.234
0.734 0.734 0.203
0.734 0.734 0.765
0.735 0.298 0.766

4.
Mg2PaO4 PBE relaxed; Fermi-level density of states = 0.526 states/eV/atom; space group = I4_1/amd (141); DFT total energy = -7.536 eV/atom; energy relative to the elements, uncorrected = -20.233 eV/f.u.
1.0
-3.449 3.449 3.551
3.449 -3.449 3.551
3.449 3.449 -3.551
Mg Pa O
4 2 8
Direct
0.000 0.000 0.000
0.000 0.000 0.500
0.000 0.500 0.000
0.500 0.000 0.500
0.375 0.625 0.750
0.625 0.375 0.250
0.151 0.711 0.440
0.229 0.289 0.940
0.289 0.229 0.440
0.289 0.849 0.060
0.711 0.151 0.940
0.711 0.771 0.560
0.771 0.711 0.060
0.849 0.289 0.560

5.
SmAl2Pt8 PBE relaxed; Fermi-level density of states = 0.634 states/eV/atom; space group = P4/mmm (123); DFT total energy = -5.931 eV/atom
1.0
5.373 0.000 0.000
0.000 5.373 0.000
0.000 0.000 7.933
Sm Al Pt
1 2 8
Direct
0.000 0.000 0.000
0.000 0.500 0.500
0.500 0.000 0.500
0.254 0.254 0.283
0.254 0.254 0.717
0.254 0.746 0.283
0.254 0.746 0.717
0.746 0.254 0.283
0.746 0.254 0.717
0.746 0.746 0.283
0.746 0.746 0.717

6.
Sr2TbYSe4 PBE relaxed; Fermi-level density of states = 0.456 states/eV/atom; space group = P2/m (10); DFT total energy = -5.441 eV/atom; energy relative to the elements, uncorrected = -15.133 eV/f.u.
1.0
7.287 0.000 0.000
0.000 4.214 0.000
-2.436 0.000 7.063
Sr Tb Y Se
2 1 1 4
Direct
0.000 0.000 0.000
0.500 0.500 0.000
0.000 0.500 0.500
0.500 0.000 0.500
0.244 0.000 0.732
0.256 0.500 0.269
0.744 0.500 0.731
0.756 0.000 0.268

> What is the Fermi-level density of states in the fifth record?

0.634 states/eV/atom

> The highest DFT total energy belongs to which entry?

Sr3Li9Zn2